Entry 1:
Density functional theory data (PBE) for an optimized crystal structure of Cr2RuRhAu.

Properties
Energy of formation from the pure elements in eV/atom: 1.34

abc: 4.4523 4.4523 5.0059
angles: 90.00 90.00 90.00
Space group P4/mmm (No. 123)
Inequivalent atoms, fractional coordinates:
Cr (0.0000, 0.5000, 0.0000) (multiplicity 2)
Ru (0.0000, 0.0000, 0.0000) (multiplicity 1)
Rh (0.5000, 0.5000, 0.5000) (multiplicity 1)
Au (0.0000, 0.0000, 0.5000) (multiplicity 1)

Entry 2:
Density functional theory data (PBE) for an optimized crystal structure of Pr4TlPb2.

Properties
Energy of formation from the pure elements in eV/atom: -0.37

abc: 6.0339 6.7903 11.1542
angles: 90.00 99.77 90.00
Space group P2_1/m (No. 11)
Inequivalent atoms, fractional coordinates:
Pr (0.1333, 0.2500, 0.1251) (multiplicity 2)
Pr (0.2442, 0.7500, 0.4478) (multiplicity 2)
Pr (0.3271, 0.0128, 0.7348) (multiplicity 4)
Tl (0.0918, 0.7500, 0.1698) (multiplicity 2)
Pb (0.2212, 0.2500, 0.4324) (multiplicity 2)
Pb (0.4194, 0.7500, 0.0004) (multiplicity 2)

Entry 3:
Density functional theory data (PBE) for an optimized crystal structure of Co3NiS.

Properties
Formation energy without anion corrections in kJ/mol of atoms: 39.2
Excess energy over the best structure of this formula in the dataset in meV per atom: 0.0

abc: 4.0650 4.0650 4.0650
angles: 90.00 90.00 90.00
Space group Pm-3m (No. 221)
Inequivalent atoms, fractional coordinates:
Co (0.0000, 0.0000, 0.5000) (multiplicity 3)
Ni (0.5000, 0.5000, 0.5000) (multiplicity 1)
S (0.0000, 0.0000, 0.0000) (multiplicity 1)

Entry 4:
Density functional theory data (PBE) for an optimized crystal structure of IrOsSCl2.

Properties
Formation energy without anion corrections in kJ/mol of atoms: 122.9
Excess energy over the best structure of this formula in the dataset in meV per atom: 0.0

abc: 4.8542 4.8542 4.4243
angles: 90.00 90.00 90.00
Space group P4/mmm (No. 123)
Inequivalent atoms, fractional coordinates:
Ir (0.0000, 0.0000, 0.0000) (multiplicity 1)
Os (0.5000, 0.5000, 0.5000) (multiplicity 1)
S (0.5000, 0.5000, 0.0000) (multiplicity 1)
Cl (0.0000, 0.5000, 0.5000) (multiplicity 2)

Entry 5:
Density functional theory data (PBE) for an optimized crystal structure of YAg3F.

Properties
Formation energy without anion corrections in kJ/mol of atoms: 72.7
Excess energy over the best structure of this formula in the dataset in meV per atom: 870.2

abc: 5.6832 5.6832 5.6832
angles: 90.00 90.00 90.00
Space group Pm-3m (No. 221)
Inequivalent atoms, fractional coordinates:
Y (0.0000, 0.0000, 0.0000) (multiplicity 1)
Ag (0.0000, 0.0000, 0.5000) (multiplicity 3)
F (0.5000, 0.5000, 0.5000) (multiplicity 1)

Entry 6:
Density functional theory data (PBE) for an optimized crystal structure of Tb4Rh2Pb.

Properties
Energy of formation from the pure elements in eV/atom: -0.63

abc: 8.6496 14.9507 6.9564
angles: 90.00 127.47 90.00
Space group Cc (No. 9)
Inequivalent atoms, fractional coordinates:
Tb (0.0000, 0.0090, 0.0000) (multiplicity 4)
Tb (0.2499, 0.2927, 0.1927) (multiplicity 4)
Tb (0.3989, 0.2865, 0.8126) (multiplicity 4)
Tb (0.4716, 0.0794, 0.1316) (multiplicity 4)
Rh (0.1125, 0.1691, 0.7970) (multiplicity 4)
Rh (0.1969, 0.4248, 0.4812) (multiplicity 4)
Pb (0.3258, 0.1175, 0.5038) (multiplicity 4)

Entry 7:
Density functional theory data (PBE) for an optimized crystal structure of Rb2BiRhI6.

Properties
Formation energy without anion corrections in kJ/mol of atoms: -65.5

abc: 8.3443 8.3443 11.8291
angles: 90.00 90.00 90.00
Space group I4/mmm (No. 139)
Inequivalent atoms, fractional coordinates:
Rb (0.0000, 0.5000, 0.2500) (multiplicity 4)
Bi (0.0000, 0.0000, 0.0000) (multiplicity 2)
Rh (0.0000, 0.0000, 0.5000) (multiplicity 2)
I (0.0000, 0.0000, 0.2649) (multiplicity 4)
I (0.2349, 0.2349, 0.5000) (multiplicity 8)

Entry 8:
Density functional theory data (PBE) for an optimized crystal structure of Dy8FeHg2.

Properties
Energy of formation from the pure elements in eV/atom: -0.16
Excess energy over the best structure of this formula in the dataset in meV per atom: 0.0

abc: 17.3869 5.3043 6.8169
angles: 90.00 109.04 90.00
Space group C2/m (No. 12)
Inequivalent atoms, fractional coordinates:
Dy (0.0215, 0.0000, 0.2882) (multiplicity 4)
Dy (0.0893, 0.5000, 0.9184) (multiplicity 4)
Dy (0.1494, 0.5000, 0.4518) (multiplicity 4)
Dy (0.1987, 0.0000, 0.7918) (multiplicity 4)
Fe (0.0000, 0.5000, 0.5000) (multiplicity 2)
Hg (0.1842, 0.0000, 0.2139) (multiplicity 4)

| no. | M_tot (μB per formula unit) |
| --- | --- |
| 1 | 5.68 |
| 2 | 0.00 |
| 3 | 4.63 |
| 4 | 2.44 |
| 5 | 1.00 |
| 6 | 0.00 |
| 7 | 0.00 |
| 8 | 0.00 |